# 1
VASP calculation (PBE-GGA) on an optimized crystal structure of CaDyCdGa.

a b c (Å): 3.620 3.620 7.722
angles (deg): 90.00 90.00 90.00
Space group P4mm (No. 99)
Symmetry-distinct sites (fractional):
Ca1 0.000 0.000 0.000 [1 per cell]
Dy1 0.000 0.000 0.470 [1 per cell]
Cd1 0.500 0.500 0.730 [1 per cell]
Ga1 0.500 0.500 0.246 [1 per cell]

Computed properties:
The value obtained for the calculated formation energy is -1.74 eV/f.u. Its crystal system is tetragonal. For the energy above the lowest structure with this stoichiometry, the calculation gives 0.0 meV/atom.

# 2
VASP calculation (PBE-GGA) on an optimized crystal structure of Ba3SmY3Te8.

a b c (Å): 9.0263 9.0263 23.9355
angles (deg): 90.00 90.00 120.00
Space group R-3m (No. 166, hexagonal axes)
Symmetry-distinct sites (fractional):
Ba1 0.0000 0.5000 0.0000 [9 per cell]
Sm1 0.0000 0.0000 0.5000 [3 per cell]
Y1 0.0000 0.5000 0.5000 [9 per cell]
Te1 0.0000 0.0000 0.2388 [6 per cell]
Te2 0.0086 0.5043 0.7604 [18 per cell]

Computed properties:
Its crystal system is trigonal. The calculation puts the formation energy from raw total energies at -1551 meV per atom.

# 3
VASP calculation (PBE-GGA) on an optimized crystal structure of Cs2K2P3.

a b c (Å): 13.492 5.249 7.271
angles (deg): 90.00 118.29 90.00
Space group C2/m (No. 12)
Symmetry-distinct sites (fractional):
Cs1 0.137 0.000 0.305 [4 per cell]
K1 0.155 0.000 0.799 [4 per cell]
P1 0.000 0.500 0.500 [2 per cell]
P2 0.057 0.500 0.930 [4 per cell]

Computed properties:
The value obtained for the calculated formation energy is -1.26 eV/f.u. Its crystal system is monoclinic.

| no. | ρ (g/cm³) |
| --- | --- |
| 1 | 6.31 |
| 2 | 5.46 |
| 3 | 3.20 |